Here is a relaxed Nd12Ga6Ir crystal from Alexandria via LeMat-Bulk. Energies are from GGA-PBE.

abc: 8.663 8.663 8.663
angles: 99.56 99.56 99.56
Fractional coordinates of all 19 atoms:
Nd: 0.818 0.570 0.434
Nd: 0.434 0.818 0.570
Nd: 0.570 0.434 0.818
Nd: 0.182 0.430 0.566
Nd: 0.566 0.182 0.430
Nd: 0.430 0.566 0.182
Nd: 0.067 0.964 0.319
Nd: 0.036 0.681 0.933
Nd: 0.681 0.933 0.036
Nd: 0.933 0.036 0.681
Nd: 0.964 0.319 0.067
Nd: 0.319 0.067 0.964
Ga: 0.699 0.864 0.371
Ga: 0.629 0.301 0.136
Ga: 0.136 0.629 0.301
Ga: 0.301 0.136 0.629
Ga: 0.371 0.699 0.864
Ga: 0.864 0.371 0.699
Ir: 0.000 0.000 0.000

Calculated values
Crystal system = trigonal
Calculated total energy = -4.6809 eV/atom
Magnetization = 0.01 μB/f.u.
E_form = -0.247 eV/atom